1.
First-principles (PBE-GGA) data for crystalline MgBS2 at its relaxed geometry, as listed in Alexandria.

Properties
**Energy relative to the lowest polymorph listed for this composition**: 994 meV/atom
**Formation energy without anion corrections**: 0.6302 eV per atom

Unit cell a=6.2598 b=6.2598 c=6.2598 alpha=90.00 beta=90.00 gamma=90.00
With the nearest neighbours (Å) after each atom.
Element x y z (fractional)
Mg 0.0000 0.0000 0.0000  8 S 2.71
Mg 0.0000 0.5000 0.5000  8 S 2.71
Mg 0.5000 0.0000 0.5000  8 S 2.71
Mg 0.5000 0.5000 0.0000  8 S 2.71
B 0.0000 0.0000 0.5000  8 S 2.71
B 0.0000 0.5000 0.0000  8 S 2.71
B 0.5000 0.0000 0.0000  8 S 2.71
B 0.5000 0.5000 0.5000  8 S 2.71
S 0.2500 0.2500 0.2500  4 Mg 2.71, 4 B 2.71
S 0.2500 0.2500 0.7500  4 Mg 2.71, 4 B 2.71
S 0.2500 0.7500 0.2500  4 Mg 2.71, 4 B 2.71
S 0.2500 0.7500 0.7500  4 Mg 2.71, 4 B 2.71
S 0.7500 0.2500 0.2500  4 Mg 2.71, 4 B 2.71
S 0.7500 0.2500 0.7500  4 Mg 2.71, 4 B 2.71
S 0.7500 0.7500 0.2500  4 Mg 2.71, 4 B 2.71
S 0.7500 0.7500 0.7500  4 Mg 2.71, 4 B 2.71



2.
First-principles (PBE-GGA) data for crystalline SnBr at its relaxed geometry, as listed in Alexandria.

Properties
**Formation energy without anion corrections**: -0.3611 eV per atom

Unit cell a=3.6474 b=5.9479 c=7.5497 alpha=85.99 beta=89.94 gamma=72.43
With the nearest neighbours (Å) after each atom.
Element x y z (fractional)
Sn 0.1381 0.2278 0.0283  2 Br 2.83, 1 Sn 3.09
Sn 0.8619 0.7722 0.9717  2 Br 2.83, 1 Sn 3.09
Br 0.3727 0.7515 0.6867  2 Sn 2.83
Br 0.6273 0.2485 0.3133  2 Sn 2.83



3.
First-principles (PBE-GGA) data for crystalline MgBO3 at its relaxed geometry, as listed in Alexandria.

Properties
**Formation energy without anion corrections**: -1.2863 eV per atom

Unit cell a=3.3572 b=3.3572 c=3.3572 alpha=90.00 beta=90.00 gamma=90.00
With the nearest neighbours (Å) after each atom.
Element x y z (fractional)
Mg 0.0000 0.0000 0.0000  12 O 2.37
B 0.5000 0.5000 0.5000  6 O 1.68
O 0.0000 0.5000 0.5000  2 B 1.68
O 0.5000 0.0000 0.5000  2 B 1.68
O 0.5000 0.5000 0.0000  2 B 1.68



4.
First-principles (PBE-GGA) data for crystalline Cs4Th3CuSe8 at its relaxed geometry, as listed in Alexandria.

Properties
**Formation energy without anion corrections**: -1.3505 eV per atom

Unit cell a=8.6878 b=8.6878 c=9.7749 alpha=116.54 beta=116.54 gamma=59.33
With the nearest neighbours (Å) after each atom.
Element x y z (fractional)
Cs 0.0000 0.0000 0.0000  6 Se 3.58-3.68
Cs 0.0000 0.5000 0.0000  6 Se 3.57-3.67
Cs 0.5000 0.0000 0.0000  6 Se 3.57-3.67
Cs 0.5000 0.5000 0.0000  6 Se 3.60-3.64
Th 0.0000 0.0000 0.5000  6 Se 2.94-2.99
Th 0.0000 0.5000 0.5000  6 Se 2.93-2.98
Th 0.5000 0.0000 0.5000  6 Se 2.93-2.98
Cu 0.5000 0.5000 0.5000  6 Se 2.89-3.03
Se 0.2306 0.2306 0.6946  3 Th 2.98-2.99
Se 0.2315 0.7232 0.6808  1 Cu 2.89, 2 Th 2.94
Se 0.2661 0.2661 0.3109  2 Th 2.93, 1 Cu 3.03
Se 0.2768 0.7685 0.3192  1 Cu 2.89, 2 Th 2.94
Se 0.7232 0.2315 0.6808  1 Cu 2.89, 2 Th 2.94
Se 0.7339 0.7339 0.6891  2 Th 2.93, 1 Cu 3.03
Se 0.7685 0.2768 0.3192  1 Cu 2.89, 2 Th 2.94
Se 0.7694 0.7694 0.3054  3 Th 2.98-2.99



5.
First-principles (PBE-GGA) data for crystalline Fe2CoSe4 at its relaxed geometry, as listed in Alexandria.

Properties
**Formation energy without anion corrections**: -0.2464 eV per atom

Unit cell a=12.2667 b=3.4565 c=6.1106 alpha=90.00 beta=117.17 gamma=90.00
With the nearest neighbours (Å) after each atom.
Element x y z (fractional)
Fe 0.2418 0.0000 0.1932  6 Se 2.36-2.61
Fe 0.2582 0.5000 0.8068  6 Se 2.36-2.61
Fe 0.7418 0.5000 0.1932  6 Se 2.36-2.61
Fe 0.7582 0.0000 0.8068  6 Se 2.36-2.61
Co 0.0000 0.5000 0.5000  6 Se 2.41-2.45
Co 0.5000 0.0000 0.5000  6 Se 2.41-2.45
Se 0.1065 0.5000 0.9434  3 Fe 2.36-2.40, 1 Co 2.41
Se 0.1361 0.0000 0.4790  2 Co 2.45, 3 Fe 2.55-2.61
Se 0.3639 0.5000 0.5210  2 Co 2.45, 3 Fe 2.55-2.61
Se 0.3935 0.0000 0.0566  3 Fe 2.36-2.40, 1 Co 2.41
Se 0.6065 0.0000 0.9434  3 Fe 2.36-2.40, 1 Co 2.41
Se 0.6361 0.5000 0.4790  2 Co 2.45, 3 Fe 2.55-2.61
Se 0.8639 0.0000 0.5210  2 Co 2.45, 3 Fe 2.55-2.61
Se 0.8935 0.5000 0.0566  3 Fe 2.36-2.40, 1 Co 2.41



6.
First-principles (PBE-GGA) data for crystalline Tb5SmHo6 at its relaxed geometry, as listed in Alexandria.

Properties
**Energy relative to the lowest polymorph listed for this composition**: 97 meV/atom
**ΔH_f (0 K)**: 2.6 kcal/mol of atoms

Unit cell a=10.1236 b=10.1236 c=10.1236 alpha=146.88 beta=137.18 gamma=55.18
With the nearest neighbours (Å) after each atom.
Element x y z (fractional)
Tb 0.0000 0.0000 0.0000  8 Ho 3.43-3.74, 2 Sm 3.70
Tb 0.1525 0.6525 0.5000  8 Ho 3.30-3.51, 2 Tb 3.70
Tb 0.3467 0.3467 0.0000  8 Ho 3.31-3.50, 2 Tb 3.70
Tb 0.6533 0.6533 0.0000  8 Ho 3.31-3.50, 2 Tb 3.70
Tb 0.8475 0.3475 0.5000  8 Ho 3.30-3.51, 2 Tb 3.70
Sm 0.5000 0.0000 0.5000  8 Ho 3.43-3.74, 2 Tb 3.70
Ho 0.0687 0.8187 0.2500  7 Tb 3.46-3.74, 4 Ho 3.70-3.80, 1 Sm 3.74
Ho 0.2501 0.5000 0.7501  6 Tb 3.30-3.43, 2 Sm 3.43, 2 Ho 3.69-3.70
Ho 0.4313 0.1813 0.2500  7 Tb 3.46-3.74, 4 Ho 3.70-3.80, 1 Sm 3.74
Ho 0.5687 0.8187 0.7500  7 Tb 3.46-3.74, 4 Ho 3.70-3.80, 1 Sm 3.74
Ho 0.7499 0.5000 0.2499  6 Tb 3.30-3.43, 2 Sm 3.43, 2 Ho 3.69-3.70
Ho 0.9313 0.1813 0.7500  7 Tb 3.46-3.74, 4 Ho 3.70-3.80, 1 Sm 3.74



7.
First-principles (PBE-GGA) data for crystalline Al2Zn3 at its relaxed geometry, as listed in Alexandria.

Properties
**Energy relative to the lowest polymorph listed for this composition**: 34 meV/atom
**ΔH_f (0 K)**: 1.0 kcal/mol of atoms

Unit cell a=7.8000 b=5.2700 c=8.8442 alpha=61.03 beta=36.23 gamma=82.74
With the nearest neighbours (Å) after each atom.
Element x y z (fractional)
Al 0.0530 0.4470 0.0536  7 Zn 2.71-2.93, 2 Al 2.78
Al 0.1964 0.8036 0.1970  7 Zn 2.71-2.93, 2 Al 2.78
Al 0.4470 0.0530 0.4464  7 Zn 2.71-2.93, 2 Al 2.78
Al 0.8036 0.1964 0.8030  7 Zn 2.71-2.93, 2 Al 2.78
Zn 0.0007 0.0007 0.9993  4 Zn 2.71, 6 Al 2.75-2.93
Zn 0.2507 0.2507 0.2493  4 Zn 2.71, 6 Al 2.75-2.93
Zn 0.4027 0.5981 0.4009  5 Zn 2.71-2.93, 4 Al 2.71-2.72
Zn 0.5981 0.4027 0.5983  5 Zn 2.71-2.93, 4 Al 2.71-2.72
Zn 0.6517 0.8491 0.6519  5 Zn 2.71-2.93, 4 Al 2.71-2.72
Zn 0.8491 0.6517 0.8473  5 Zn 2.71-2.93, 4 Al 2.71-2.72



8.
First-principles (PBE-GGA) data for crystalline BaTlSeN2 at its relaxed geometry, as listed in Alexandria.

Properties
**Energy relative to the lowest polymorph listed for this composition**: 425 meV/atom
**Formation energy without anion corrections**: 1.1276 eV per atom

Unit cell a=5.2773 b=5.2773 c=6.4795 alpha=90.00 beta=90.00 gamma=90.00
With the nearest neighbours (Å) after each atom.
Element x y z (fractional)
Ba 0.0000 0.0000 0.0000  4 N 2.64
Tl 0.5000 0.5000 0.5000  4 Se 3.73, 8 N 4.18
Se 0.0000 0.0000 0.5000  2 Ba 3.24
N 0.0000 0.5000 0.0000  2 Ba 2.64
N 0.5000 0.0000 0.0000  2 Ba 2.64



9.
First-principles (PBE-GGA) data for crystalline TlPd4Pt2 at its relaxed geometry, as listed in Alexandria.

Properties
**Energy relative to the lowest polymorph listed for this composition**: 0 meV/atom
**ΔH_f (0 K)**: -2.6 kcal/mol of atoms

Unit cell a=4.0150 b=4.8574 c=6.5013 alpha=97.83 beta=90.08 gamma=114.35
With the nearest neighbours (Å) after each atom.
Element x y z (fractional)
Tl 0.0000 0.0000 0.0000  10 Pd 2.82-2.91, 2 Pt 2.92
Pd 0.2863 0.5731 0.8519  3 Pt 2.81-2.87, 3 Tl 2.82-2.84, 6 Pd 2.83-2.95
Pd 0.4282 0.8560 0.2934  5 Pd 2.80-2.95, 5 Pt 2.80-2.83, 2 Tl 2.90-2.91
Pd 0.5718 0.1440 0.7066  5 Pd 2.80-2.95, 5 Pt 2.80-2.83, 2 Tl 2.90-2.91
Pd 0.7137 0.4269 0.1481  3 Pt 2.81-2.87, 3 Tl 2.82-2.84, 6 Pd 2.83-2.95
Pt 0.1446 0.2886 0.4351  3 Pt 2.79-2.81, 8 Pd 2.80-2.87, 1 Tl 2.92
Pt 0.8554 0.7114 0.5649  3 Pt 2.79-2.81, 8 Pd 2.80-2.87, 1 Tl 2.92



10.
First-principles (PBE-GGA) data for crystalline HfVMo4 at its relaxed geometry, as listed in Alexandria.

Properties
**ΔH_f (0 K)**: -1.1 kcal/mol of atoms

Unit cell a=2.8456 b=4.4164 c=7.7521 alpha=90.00 beta=90.29 gamma=90.00
With the nearest neighbours (Å) after each atom.
Element x y z (fractional)
Hf 0.0000 0.0000 0.0000  6 Mo 2.80-2.82, 2 Hf 2.85
V 0.0000 0.5000 0.5000  6 Mo 2.66-2.70, 2 V 2.85
Mo 0.3404 0.0000 0.3428  5 Mo 2.60-2.85, 2 V 2.70, 1 Hf 2.82
Mo 0.3477 0.5000 0.8197  1 V 2.66, 5 Mo 2.69-2.92, 2 Hf 2.80
Mo 0.6523 0.5000 0.1803  1 V 2.66, 5 Mo 2.69-2.92, 2 Hf 2.80
Mo 0.6596 0.0000 0.6572  5 Mo 2.60-2.85, 2 V 2.70, 1 Hf 2.82



11.
First-principles (PBE-GGA) data for crystalline Er2HgSb at its relaxed geometry, as listed in Alexandria.

Properties
**Energy relative to the lowest polymorph listed for this composition**: 133 meV/atom
**Formation energy without anion corrections**: -0.5961 eV per atom

Unit cell a=4.1676 b=4.1676 c=23.1324 alpha=90.00 beta=90.00 gamma=120.00
With the nearest neighbours (Å) after each atom.
Element x y z (fractional)
Er 0.0000 0.0000 0.0000  3 Sb 3.02, 3 Hg 3.12
Er 0.0000 0.0000 0.1747  3 Sb 3.03, 3 Hg 3.16
Er 0.3333 0.6667 0.6667  3 Sb 3.02, 3 Hg 3.12
Er 0.3333 0.6667 0.8413  3 Sb 3.03, 3 Hg 3.16
Er 0.6667 0.3333 0.3333  3 Sb 3.02, 3 Hg 3.12
Er 0.6667 0.3333 0.5080  3 Sb 3.03, 3 Hg 3.16
Hg 0.0000 0.0000 0.4195  6 Er 3.12-3.16
Hg 0.3333 0.6667 0.0862  6 Er 3.12-3.16
Hg 0.6667 0.3333 0.7528  6 Er 3.12-3.16
Sb 0.0000 0.0000 0.5879  6 Er 3.02-3.03
Sb 0.3333 0.6667 0.2546  6 Er 3.02-3.03
Sb 0.6667 0.3333 0.9213  6 Er 3.02-3.03



12.
First-principles (PBE-GGA) data for crystalline K2RbV2 at its relaxed geometry, as listed in Alexandria.

Properties
**Energy relative to the lowest polymorph listed for this composition**: 190 meV/atom
**ΔH_f (0 K)**: 23.5 kcal/mol of atoms

Unit cell a=10.8027 b=10.8027 c=3.4363 alpha=90.00 beta=90.00 gamma=90.00
With the nearest neighbours (Å) after each atom.
Element x y z (fractional)
K 0.2100 0.2900 0.0000  2 K 3.44, 4 V 3.75
K 0.2900 0.7900 0.0000  2 K 3.44, 4 V 3.75
K 0.7100 0.2100 0.0000  2 K 3.44, 4 V 3.75
K 0.7900 0.7100 0.0000  2 K 3.44, 4 V 3.75
Rb 0.0000 0.0000 0.0000  2 Rb 3.44
Rb 0.5000 0.5000 0.0000  2 Rb 3.44
V 0.0595 0.5595 0.5000  1 V 1.82
V 0.4405 0.0595 0.5000  1 V 1.82
V 0.5595 0.9405 0.5000  1 V 1.82
V 0.9405 0.4405 0.5000  1 V 1.82



| no. | total DFT energy (no corrections) (eV per atom) | total magnetic moment (μB/f.u.) |
| --- | --- | --- |
| 1 | -3.50 | 0.000 |
| 2 | -3.20 | 0.000 |
| 3 | -5.92 | 0.520 |
| 4 | -4.95 | 0.000 |
| 5 | -5.67 | 3.915 |
| 6 | -4.50 | 0.000 |
| 7 | -2.22 | 0.000 |
| 8 | -3.76 | 5.018 |
| 9 | -5.15 | 0.000 |
| 10 | -10.45 | 0.000 |
| 11 | -3.98 | 0.000 |
| 12 | -3.26 | 0.000 |